# 1
# La2PdF PBE optimized geometry
data_La2PdF
_chemical_formula_sum 'La6 Pd3 F3'
_space_group_name_H-M_alt 'R 3 m'
_space_group_IT_number 160
_space_group_name_Hall 'R 3 -2"'
_cell_length_a 4.1481
_cell_length_b 4.1481
_cell_length_c 23.9670
_cell_angle_alpha 90.00
_cell_angle_beta 90.00
_cell_angle_gamma 120.00
loop_
_atom_site_label
_atom_site_type_symbol
_atom_site_fract_x
_atom_site_fract_y
_atom_site_fract_z
_atom_site_occupancy
La1 La 0.0000 0.0000 0.0000 1
La2 La 0.0000 0.0000 0.1867 1
Pd1 Pd 0.0000 0.0000 0.6002 1
F1 F 0.0000 0.0000 0.8231 1
# Formation energy without anion corrections, eV per atom: -1.53
# E above lowest polymorph, meV/atom: 76

=====

# 2
# La2PdF PBE optimized geometry
data_La2PdF
_chemical_formula_sum 'La8 Pd4 F4'
_space_group_name_H-M_alt 'F m -3 m'
_space_group_IT_number 225
_space_group_name_Hall '-F 4 2 3'
_cell_length_a 7.159
_cell_length_b 7.159
_cell_length_c 7.159
_cell_angle_alpha 90.00
_cell_angle_beta 90.00
_cell_angle_gamma 90.00
loop_
_atom_site_label
_atom_site_type_symbol
_atom_site_fract_x
_atom_site_fract_y
_atom_site_fract_z
_atom_site_occupancy
La1 La 0.250 0.250 0.250 1
Pd1 Pd 0.000 0.000 0.000 1
F1 F 0.000 0.000 0.500 1
# Formation energy without anion corrections, eV per atom: -1.29
# E above lowest polymorph, meV/atom: 317

=====

# 3
# LaPdF3 PBE optimized geometry
data_LaPdF3
_chemical_formula_sum 'La1 Pd1 F3'
_space_group_name_H-M_alt 'P m -3 m'
_space_group_IT_number 221
_space_group_name_Hall '-P 4 2 3'
_cell_length_a 4.298
_cell_length_b 4.298
_cell_length_c 4.298
_cell_angle_alpha 90.00
_cell_angle_beta 90.00
_cell_angle_gamma 90.00
loop_
_atom_site_label
_atom_site_type_symbol
_atom_site_fract_x
_atom_site_fract_y
_atom_site_fract_z
_atom_site_occupancy
La1 La 0.000 0.000 0.000 1
Pd1 Pd 0.500 0.500 0.500 1
F1 F 0.000 0.500 0.500 1
# Formation energy without anion corrections, eV per atom: -1.72
# E above lowest polymorph, meV/atom: 904

=====

# 4
# LaPdF2 PBE optimized geometry
data_LaPdF2
_chemical_formula_sum 'La3 Pd3 F6'
_space_group_name_H-M_alt 'R -3 m'
_space_group_IT_number 166
_space_group_name_Hall '-R 3 2"'
_cell_length_a 4.0726
_cell_length_b 4.0726
_cell_length_c 16.2296
_cell_angle_alpha 90.00
_cell_angle_beta 90.00
_cell_angle_gamma 120.00
loop_
_atom_site_label
_atom_site_type_symbol
_atom_site_fract_x
_atom_site_fract_y
_atom_site_fract_z
_atom_site_occupancy
La1 La 0.0000 0.0000 0.0000 1
Pd1 Pd 0.0000 0.0000 0.5000 1
F1 F 0.0000 0.0000 0.2991 1
# Formation energy without anion corrections, eV per atom: -2.36
# E above lowest polymorph, meV/atom: 0

=====

# 5
# La2PdF8 PBE optimized geometry
data_La2PdF8
_chemical_formula_sum 'La4 Pd2 F16'
_space_group_name_H-M_alt 'C 1 2/m 1'
_space_group_IT_number 12
_cell_length_a 13.891
_cell_length_b 3.763
_cell_length_c 6.335
_cell_angle_alpha 90.00
_cell_angle_beta 102.52
_cell_angle_gamma 90.00
loop_
_space_group_symop_operation_xyz
'x,y,z'
'-x,-y,-z'
'-x,y,-z'
'x,-y,z'
'x+1/2,y+1/2,z'
'-x+1/2,-y+1/2,-z'
'-x+1/2,y+1/2,-z'
'x+1/2,-y+1/2,z'
loop_
_atom_site_label
_atom_site_type_symbol
_atom_site_fract_x
_atom_site_fract_y
_atom_site_fract_z
_atom_site_occupancy
La1 La 0.176 0.000 0.199 1
Pd1 Pd 0.000 0.500 0.500 1
F1 F 0.016 0.000 0.309 1
F2 F 0.098 0.500 0.032 1
F3 F 0.166 0.500 0.485 1
F4 F 0.212 0.000 0.837 1
# Formation energy without anion corrections, eV per atom: -3.24

=====

# 6
# La3PdF PBE optimized geometry
data_La3PdF
_chemical_formula_sum 'La3 Pd1 F1'
_space_group_name_H-M_alt 'P m -3 m'
_space_group_IT_number 221
_space_group_name_Hall '-P 4 2 3'
_cell_length_a 5.039
_cell_length_b 5.039
_cell_length_c 5.039
_cell_angle_alpha 90.00
_cell_angle_beta 90.00
_cell_angle_gamma 90.00
loop_
_atom_site_label
_atom_site_type_symbol
_atom_site_fract_x
_atom_site_fract_y
_atom_site_fract_z
_atom_site_occupancy
La1 La 0.000 0.000 0.500 1
Pd1 Pd 0.500 0.500 0.500 1
F1 F 0.000 0.000 0.000 1
# Formation energy without anion corrections, eV per atom: -1.04
# E above lowest polymorph, meV/atom: 0